# 1
TlTcAgS3 | the Open Quantum Materials Database | PBE | relaxed; excess energy over the best structure of this formula in the dataset = 3 meV/atom; density = 6.47 g/cm³
1.0
-2.272 -8.399 -11.081
0.963 -2.874 1.981
-9.686 -1.233 2.920
Tc S Ag Tl
4 12 4 4
Direct
0.511 0.250 0.168
0.989 0.750 0.668
0.011 0.250 0.332
0.489 0.750 0.832
0.625 0.750 0.201
0.875 0.250 0.701
0.125 0.750 0.299
0.404 0.250 0.344
0.572 0.250 0.938
0.096 0.750 0.844
0.072 0.250 0.562
0.375 0.250 0.799
0.596 0.750 0.656
0.904 0.250 0.156
0.928 0.750 0.438
0.428 0.750 0.062
0.041 0.750 0.090
0.959 0.250 0.910
0.541 0.750 0.410
0.459 0.250 0.590
0.258 0.750 0.558
0.742 0.250 0.442
0.758 0.750 0.942
0.242 0.250 0.058

# 2
AgTeS6 | the Open Quantum Materials Database | PBE | relaxed; density = 4.10 g/cm³
1.0
0.000 4.424 4.424
4.424 0.000 4.424
4.424 4.424 0.000
S Ag Te
6 1 1
Direct
0.041 0.041 0.459
0.459 0.041 0.459
0.459 0.041 0.041
0.041 0.459 0.459
0.041 0.459 0.041
0.459 0.459 0.041
0.750 0.750 0.750
0.500 0.500 0.500

# 3
TlAgTe2WS | the Open Quantum Materials Database | PBE | relaxed; density = 8.26 g/cm³
1.0
2.038 -7.764 0.000
2.038 7.764 0.000
0.000 0.000 9.950
W Ag Tl Te S
2 2 2 4 2
Direct
0.000 0.000 0.000
0.000 0.000 0.500
0.535 0.465 0.750
0.465 0.535 0.250
0.243 0.757 0.750
0.757 0.243 0.250
0.373 0.627 0.480
0.627 0.373 0.980
0.627 0.373 0.520
0.373 0.627 0.020
0.943 0.057 0.750
0.057 0.943 0.250

# 4
TlAgTeWS2 | the Open Quantum Materials Database | PBE | relaxed; density = 7.78 g/cm³
1.0
1.713 -8.144 0.000
1.713 8.144 0.000
0.000 0.000 10.520
Tl S Te Ag W
2 4 2 2 2
Direct
0.238 0.762 0.750
0.762 0.238 0.250
0.394 0.606 0.475
0.606 0.394 0.525
0.394 0.606 0.025
0.606 0.394 0.975
0.077 0.923 0.250
0.923 0.077 0.750
0.568 0.432 0.750
0.432 0.568 0.250
0.000 0.000 0.000
0.000 0.000 0.500

Number 1: total energy -4.8476 eV/atom. Number 2: total energy -2.9438 eV/atom. Number 3: total energy -4.6502 eV/atom. Number 4: total energy -4.9870 eV/atom.